1.
Computed, not measured: KLiCu2 after structural relaxation at the PBE level of DFT.

Results
D(E_F) ... 1.7 states/eV/f.u.
DFT formation energy ... 0.257 eV per atom
Volume ... 22.3 Å³ per atom

a = 3.2300 Å, b = 3.4166 Å, c = 8.0794 Å
α = 90.00°, β = 90.00°, γ = 90.00°
With the nearest neighbours (Å) after each atom.
Space group Pmm2 (No. 25)
Unique sites:
K  0.0000  0.0000  0.0000 (multiplicity 1)  4 K 3.23-3.42, 5 Cu 3.27-3.41
Li  0.5000  0.5000  0.3967 (multiplicity 1)  1 Cu 2.41
Cu  0.0000  0.0000  0.5959 (multiplicity 1)  4 Cu 2.48
Cu  0.5000  0.5000  0.6949 (multiplicity 1)  1 Li 2.41, 4 Cu 2.48

***

2.
Computed, not measured: Ca2ReTe after structural relaxation at the PBE level of DFT.

Results
Uncorrected formation energy ... 0.24 eV per atom
D(E_F) ... 4.0 states/eV/f.u.
Volume ... 23.6 Å³ per atom

a = 6.5464 Å, b = 8.8698 Å, c = 3.2449 Å
α = 90.00°, β = 90.00°, γ = 90.00°
With the nearest neighbours (Å) after each atom.
Space group Cmmm (No. 65)
Unique sites:
Ca  0.2500  0.2500  0.0000 (multiplicity 4)  4 Re 3.20, 4 Te 3.20, 4 Ca 3.24-3.27
Re  0.0000  0.0000  0.5000 (multiplicity 2)  8 Ca 3.20, 2 Re 3.24, 2 Te 3.27
Te  0.0000  0.5000  0.5000 (multiplicity 2)  8 Ca 3.20, 2 Te 3.24, 2 Re 3.27

***

3.
Computed, not measured: Hf4BeRe3 after structural relaxation at the PBE level of DFT.

Results
D(E_F) ... 8.3 states/eV/f.u.
DFT formation energy ... -0.281 eV per atom
Volume ... 17.3 Å³ per atom

a = 3.2902 Å, b = 3.2902 Å, c = 12.7497 Å
α = 90.00°, β = 90.00°, γ = 90.00°
With the nearest neighbours (Å) after each atom.
Space group P4/mmm (No. 123)
Unique sites:
Hf  0.0000  0.0000  0.1204 (multiplicity 2)  4 Re 2.78, 4 Be 2.79, 1 Hf 3.07
Hf  0.0000  0.0000  0.3715 (multiplicity 2)  8 Re 2.85-2.87
Be  0.5000  0.5000  0.0000 (multiplicity 1)  8 Hf 2.79, 2 Re 3.06
Re  0.5000  0.5000  0.2399 (multiplicity 2)  8 Hf 2.78-2.87, 1 Be 3.06
Re  0.5000  0.5000  0.5000 (multiplicity 1)  8 Hf 2.85

***

4.
Computed, not measured: Ta2BrF2 after structural relaxation at the PBE level of DFT.

Results
Uncorrected formation energy ... -0.17 eV per atom
D(E_F) ... 3.1 states/eV/f.u.
Volume ... 15.2 Å³ per atom

a = 7.0877 Å, b = 7.0877 Å, c = 3.0204 Å
α = 90.00°, β = 90.00°, γ = 90.00°
With the nearest neighbours (Å) after each atom.
Space group P4/mbm (No. 127)
Unique sites:
Ta  0.2337  0.2663  0.0000 (multiplicity 4)  2 F 2.17
Br  0.0000  0.0000  0.5000 (multiplicity 2)  4 F 2.87, 8 Ta 2.93, 2 Br 3.02
F  0.1113  0.6113  0.5000 (multiplicity 4)  2 Ta 2.17, 1 F 2.23

***

5.
Computed, not measured: SrPm2NpO8 after structural relaxation at the PBE level of DFT.

Results
Uncorrected formation energy ... -2.86 eV per atom
D(E_F) ... 0.5 states/eV/f.u.
Volume ... 14.5 Å³ per atom

a = 4.0832 Å, b = 7.8630 Å, c = 5.4276 Å
α = 90.00°, β = 95.06°, γ = 90.00°
With the nearest neighbours (Å) after each atom.
Space group P2/m (No. 10)
Unique sites:
Sr  0.0000  0.0000  0.0000 (multiplicity 1)  8 O 2.49-2.67
Pm  0.5000  0.2622  0.5000 (multiplicity 2)  8 O 2.36-2.52
Np  0.0000  0.5000  0.0000 (multiplicity 1)  6 O 2.07-2.09
O  0.0365  0.2958  0.7635 (multiplicity 4)  1 Np 2.07
O  0.4446  0.5000  0.2216 (multiplicity 2)  1 Np 2.09
O  0.4900  0.0000  0.7122 (multiplicity 2)  1 O 2.31, 2 Pm 2.36, 1 Sr 2.49

***

6.
Computed, not measured: Rb3CdAg2Cl8 after structural relaxation at the PBE level of DFT.

Results
Uncorrected formation energy ... -1.17 eV per atom
D(E_F) ... 12.3 states/eV/f.u.
Volume ... 32.3 Å³ per atom

a = 7.3345 Å, b = 7.3345 Å, c = 9.6942 Å
α = 90.00°, β = 90.00°, γ = 120.00°
With the nearest neighbours (Å) after each atom.
Space group P-3m1 (No. 164)
Unique sites:
Rb  0.0000  0.0000  0.0000 (multiplicity 1)  12 Cl 3.85-4.27
Rb  0.3333  0.6667  0.6154 (multiplicity 2)  4 Cl 3.16-3.48
Cd  0.0000  0.0000  0.5000 (multiplicity 1)  6 Cl 2.63
Ag  0.3333  0.6667  0.1884 (multiplicity 2)  4 Cl 2.40-2.58
Cl  0.1635  0.3270  0.3341 (multiplicity 6)  1 Ag 2.58, 1 Cd 2.63
Cl  0.3333  0.6667  0.9413 (multiplicity 2)  1 Ag 2.40

***

7.
Computed, not measured: Ce2Rh3Au4 after structural relaxation at the PBE level of DFT.

Results
D(E_F) ... 4.5 states/eV/f.u.
DFT formation energy ... -0.520 eV per atom
Volume ... 18.7 Å³ per atom

a = 10.4182 Å, b = 3.9472 Å, c = 9.1608 Å
α = 90.00°, β = 116.66°, γ = 90.00°
With the nearest neighbours (Å) after each atom.
Space group C2/m (No. 12)
Unique sites:
Ce  0.1702  0.0000  0.2346 (multiplicity 4)  4 Rh 2.66-2.87
Rh  0.0000  0.5000  0.0000 (multiplicity 2)  4 Ce 2.87, 8 Au 3.04-3.20
Rh  0.1795  0.0000  0.5668 (multiplicity 4)  2 Ce 2.66, 2 Au 2.85
Au  0.9998  0.5000  0.3442 (multiplicity 4)  3 Au 2.85, 6 Rh 2.85-3.15, 3 Ce 3.11-3.12
Au  0.1621  0.0000  0.8910 (multiplicity 4)  4 Au 2.82-2.85, 3 Rh 3.04-3.06, 2 Ce 3.11-3.12

***

8.
Computed, not measured: UGaRu2 after structural relaxation at the PBE level of DFT.

Results
D(E_F) ... 4.7 states/eV/f.u.
DFT formation energy ... -0.265 eV per atom
Volume ... 16.3 Å³ per atom

a = 3.1068 Å, b = 3.1068 Å, c = 6.7494 Å
α = 90.00°, β = 90.00°, γ = 90.00°
With the nearest neighbours (Å) after each atom.
Space group P4/mmm (No. 123)
Unique sites:
U  0.0000  0.0000  0.0000 (multiplicity 1)  8 Ru 2.89, 4 U 3.11
Ga  0.0000  0.0000  0.5000 (multiplicity 1)  8 Ru 2.66
Ru  0.5000  0.5000  0.2788 (multiplicity 2)  4 Ga 2.66, 4 U 2.89